CuIr2Os | PBEsol | relaxed

Summary:
Energy ... -9.00 eV per atom
Calculated volume ... 54 Å³ per cell
Offset from the most stable computed form ... 0.00 eV per formula unit
Crystal system ... tetragonal
Total magnetic moment ... 0.00 μB/f.u.
Energy relative to the elements ... 51 meV per atom

Geometry as CIF:
```
data_CuIr2Os
_space_group_name_H-M_alt 'P 4/m m m'
_space_group_IT_number 123
_space_group_name_Hall '-P 4 2'
_cell_length_a 2.717
_cell_length_b 2.717
_cell_length_c 7.294
_cell_angle_alpha 90.00
_cell_angle_beta 90.00
_cell_angle_gamma 90.00
loop_
_atom_site_label
_atom_site_fract_x
_atom_site_fract_y
_atom_site_fract_z
_atom_site_occupancy
Cu1 0.000 0.000 0.000 1
Ir1 0.500 0.500 0.248 1
Os1 0.000 0.000 0.500 1
```